No. 1
This record from Alexandria via LeMat-Bulk describes a geometry-optimized Cs2NaCdAg structure. The functional is PBE.

Cell: 7.0548 7.0548 5.5704 Å, 90.00 90.00 90.00°
Closest atoms and distances in Å follow each position.
Fractional positions:
Cs  0.0000  0.5000  0.0000  2 Ag 3.53
Cs  0.5000  0.0000  0.0000  2 Ag 3.53
Na  0.0000  0.0000  0.5000  8 Cs 4.49, 4 Cd 4.99
Cd  0.5000  0.5000  0.5000  2 Ag 2.79
Ag  0.5000  0.5000  0.0000  2 Cd 2.79

VASP energy in eV per cell: -6.50
Energy of formation from the pure elements in kJ/mol of formula units: 29
Spin magnetization in μB/atom: 0.000
Theoretical density in g cm⁻³: 3.05
Distance to the lowest polymorph of the same formula in meV per atom: 0.0

No. 2
This record from Alexandria via LeMat-Bulk describes a geometry-optimized AlAsP2 structure. The functional is PBE.

Cell: 3.5282 4.1026 9.8580 Å, 90.00 90.00 90.00°
Closest atoms and distances in Å follow each position.
Fractional positions:
Al  0.0000  0.0000  0.0000  4 P 2.51, 4 As 2.71
Al  0.5000  0.5000  0.5000  4 P 2.51, 4 As 2.71
As  0.0000  0.0000  0.5000  4 Al 2.71, 4 P 2.72
As  0.5000  0.5000  0.0000  4 Al 2.71, 4 P 2.72
P  0.0000  0.5000  0.3190  2 Al 2.51, 2 As 2.72
P  0.0000  0.5000  0.6810  2 Al 2.51, 2 As 2.72
P  0.5000  0.0000  0.1810  2 Al 2.51, 2 As 2.72
P  0.5000  0.0000  0.8190  2 Al 2.51, 2 As 2.72

VASP energy in eV per cell: -35.92
Energy of formation from the pure elements in kJ/mol of formula units: 121
Spin magnetization in μB/atom: 0.000
Theoretical density in g cm⁻³: 3.81
Distance to the lowest polymorph of the same formula in meV per atom: 394.7

No. 3
This record from Alexandria via LeMat-Bulk describes a geometry-optimized KSrTl2P structure. The functional is PBE.

Cell: 5.5580 5.5580 5.8989 Å, 90.00 90.00 90.00°
Closest atoms and distances in Å follow each position.
Fractional positions:
K  0.0000  0.0000  0.0000  2 P 2.95
Sr  0.5000  0.5000  0.0000  4 K 3.93, 8 Tl 4.05
Tl  0.0000  0.5000  0.5000  2 P 2.78
Tl  0.5000  0.0000  0.5000  2 P 2.78
P  0.0000  0.0000  0.5000  4 Tl 2.78, 2 K 2.95

VASP energy in eV per cell: -12.26
Energy of formation from the pure elements in kJ/mol of formula units: 64
Spin magnetization in μB/atom: 0.000
Theoretical density in g cm⁻³: 5.16

No. 4
This record from Alexandria via LeMat-Bulk describes a geometry-optimized Ba2TlAg3 structure. The functional is PBE.

Cell: 10.0400 9.7264 6.6856 Å, 72.78 67.72 39.50°
Closest atoms and distances in Å follow each position.
Fractional positions:
Ba  0.2465  0.7535  0.7535  10 Ag 3.56-3.68, 2 Tl 3.66
Ba  0.2500  0.2500  0.2500  4 Tl 3.64, 8 Ag 3.65-3.67
Ba  0.7500  0.7500  0.7500  4 Tl 3.64, 8 Ag 3.65-3.67
Ba  0.7535  0.2465  0.2465  10 Ag 3.56-3.68, 2 Tl 3.66
Tl  0.3328  0.3328  0.6672  3 Ag 2.94-2.95
Tl  0.6672  0.6672  0.3328  3 Ag 2.94-2.95
Ag  0.1632  0.1632  0.8368  2 Ag 2.86, 1 Tl 2.94
Ag  0.1647  0.6713  0.3287  2 Ag 2.85-2.86, 1 Tl 2.95
Ag  0.3287  0.8353  0.1647  2 Ag 2.85-2.86, 1 Tl 2.95
Ag  0.6713  0.1647  0.8353  2 Ag 2.85-2.86, 1 Tl 2.95
Ag  0.8353  0.3287  0.6713  2 Ag 2.85-2.86, 1 Tl 2.95
Ag  0.8368  0.8368  0.1632  2 Ag 2.86, 1 Tl 2.94

VASP energy in eV per cell: -32.67
Energy of formation from the pure elements in kJ/mol of formula units: -151
Spin magnetization in μB/atom: 0.000
Theoretical density in g cm⁻³: 6.94
Distance to the lowest polymorph of the same formula in meV per atom: 6.1